Record 1
A plane-wave DFT calculation with PBE was carried out for an optimized crystal structure of Dy4MgZnAg2.

Values from the calculation:
- Energy: -28.9 eV per formula unit

Cell: 5.163 5.163 8.969 Å, 73.27 73.27 60.00°
Positions (direct):
Ag: 0.743 0.743 0.772
Ag: 0.257 0.257 0.228
Dy: 0.381 0.381 0.857
Dy: 0.619 0.619 0.143
Dy: 0.870 0.870 0.390
Dy: 0.130 0.130 0.610
Mg: 0.000 0.000 0.000
Zn: 0.500 0.500 0.500


Record 2
A plane-wave DFT calculation with PBE was carried out for an optimized crystal structure of Lu3GaC.

Values from the calculation:
- Energy: -28.5 eV per formula unit

Cell: 4.721 4.721 4.721 Å, 90.00 90.00 90.00°
Positions (direct):
Lu: 0.500 0.500 0.000
Lu: 0.500 0.000 0.500
Lu: 0.000 0.500 0.500
Ga: 0.000 0.000 0.000
C: 0.500 0.500 0.500


Asked for calculated volume across the records above, the calculation gives 195.3; 105.2 Å³/cell in order.
Asked for DOS(E_F) across the records above, the calculation gives 6.38; 0.28 states/eV/f.u. in order.